# MnPt2F | Alexandria via LeMat-Bulk | PBE+U | relaxed
data_MnPt2F
_chemical_formula_sum 'Mn4 Pt8 F4'
_space_group_name_H-M_alt 'I -4 2 d'
_space_group_IT_number 122
_space_group_name_Hall 'I -4 2bw'
_cell_length_a 7.251
_cell_length_b 7.251
_cell_length_c 4.921
_cell_angle_alpha 90.00
_cell_angle_beta 90.00
_cell_angle_gamma 90.00
loop_
_atom_site_label
_atom_site_fract_x
_atom_site_fract_y
_atom_site_fract_z
Mn1 0.000 0.000 0.000
Pt1 0.209 0.250 0.625
F1 0.000 0.000 0.500
# energy = -5.46 eV per atom
# density of states at the Fermi level = 14.5 states/eV/cell
# energy relative to the lowest polymorph listed for this composition = 3 meV/atom